Record 1
# BiAsN2 PBE optimized geometry
# E_form (uncorrected): 894 meV/atom
# N(E_F): 0.53 states/eV/cell
# mass density: 7.31 Mg/m³
# crystal system: trigonal
data_BiAsN2
_chemical_formula_sum 'Bi1 As1 N2'
_cell_length_a 6.737
_cell_length_b 6.737
_cell_length_c 6.737
_cell_angle_alpha 30.74
_cell_angle_beta 30.74
_cell_angle_gamma 30.74
_symmetry_space_group_name_H-M 'P 1'
_symmetry_Int_Tables_number 1
loop_
_symmetry_equiv_pos_as_xyz
'x,y,z'
loop_
_atom_site_label
_atom_site_type_symbol
_atom_site_fract_x
_atom_site_fract_y
_atom_site_fract_z
_atom_site_occupancy
As1 As 0.000 0.000 0.000 1
N1 N 0.902 0.902 0.902 1
N2 N 0.098 0.098 0.098 1
Bi1 Bi 0.500 0.500 0.500 1

Record 2
# Sr3LaBi2P PBE optimized geometry
# formation energy from the elements: -0.9739 eV/atom
# N(E_F): 0.13 states/eV/cell
# mass density: 5.17 Mg/m³
# crystal system: orthorhombic
data_Sr3LaBi2P
_chemical_formula_sum 'Sr3 La1 Bi2 P1'
_cell_length_a 5.614
_cell_length_b 5.571
_cell_length_c 9.587
_cell_angle_alpha 106.89
_cell_angle_beta 107.02
_cell_angle_gamma 90.00
_symmetry_space_group_name_H-M 'P 1'
_symmetry_Int_Tables_number 1
loop_
_symmetry_equiv_pos_as_xyz
'x,y,z'
loop_
_atom_site_label
_atom_site_type_symbol
_atom_site_fract_x
_atom_site_fract_y
_atom_site_fract_z
_atom_site_occupancy
Sr1 Sr 0.825 0.825 0.650 1
Sr2 Sr 0.175 0.175 0.350 1
Sr3 Sr 0.000 0.500 0.000 1
P1 P 0.000 0.000 0.000 1
Bi1 Bi 0.632 0.632 0.263 1
Bi2 Bi 0.368 0.368 0.737 1
La1 La 0.500 0.000 0.000 1